No. 1
Computed, not measured: a relaxed structure of La2Cd4CuAg at the PBE level of DFT.

Summary:
Energy, eV per formula unit: -22.49
Calculated formation energy, eV per formula unit: -2.527
Total moment, Bohr magnetons per cell: 0.00

Geometry as POSCAR:
```
La2Cd4CuAg
1.0
-0.466 -7.489 -2.862
-1.790 -1.819 5.051
-5.167 -0.537 2.245
Cd La Ag Cu
4 2 1 1
Direct
0.688 0.860 0.860
0.797 0.141 0.141
0.203 0.141 0.141
0.312 0.860 0.860
0.500 0.568 0.568
0.000 0.430 0.430
0.000 0.723 0.723
0.500 0.277 0.277
```

No. 2
Computed, not measured: a relaxed structure of La2PrCd3Cu2Ag at the PBE level of DFT.

Summary:
Energy, eV per formula unit: -30.27
Calculated formation energy, eV per formula unit: -2.705
Total moment, Bohr magnetons per cell: 0.00

Geometry as POSCAR:
```
La2PrCd3Cu2Ag
1.0
-0.724 3.558 -1.771
-0.589 -3.606 -7.006
-6.413 0.943 4.519
Ag Pr La Cd Cu
1 1 2 3 2
Direct
0.000 0.999 0.999
0.000 0.414 0.414
0.000 0.586 0.001
0.000 0.001 0.586
0.500 0.002 0.259
0.500 0.259 0.002
0.500 0.738 0.738
0.500 0.666 0.333
0.500 0.333 0.666
```

No. 3
Computed, not measured: a relaxed structure of MgCdCuAg at the PBE level of DFT.

Summary:
Energy, eV per formula unit: -9.36
Excess energy over the best structure of this formula in the dataset, meV per atom: 0

Geometry as POSCAR:
```
MgCdCuAg
1.0
-3.075 -3.183 1.285
0.089 -1.692 4.286
-3.342 1.094 2.979
Cu Ag Mg Cd
1 1 1 1
Direct
0.500 0.500 0.500
0.000 0.000 0.000
0.750 0.750 0.750
0.250 0.250 0.250
```

No. 4
Computed, not measured: a relaxed structure of PrNd2Cd3Cu2Ag at the PBE level of DFT.

Summary:
Energy, eV per formula unit: -29.84
Calculated formation energy, eV per formula unit: -2.594
Total moment, Bohr magnetons per cell: 0.03

Geometry as POSCAR:
```
PrNd2Cd3Cu2Ag
1.0
-3.656 0.492 1.472
0.206 -7.272 2.940
2.548 6.041 4.310
Ag Cd Nd Cu Pr
1 3 2 2 1
Direct
0.000 0.000 0.000
0.500 0.001 0.736
0.500 0.736 0.001
0.500 0.263 0.263
0.000 0.411 0.000
0.000 0.000 0.411
0.500 0.332 0.667
0.500 0.667 0.332
0.000 0.589 0.589
```